! PBE+U Li6Mn5CoO12, relaxed; values from VASP
! Total magnetization   22.00 μB/f.u.
! Crystal system   triclinic
! Energy above the most stable polymorph in this dataset   0 meV/atom
! Volume   10.2 Å³/atom
&SYSTEM
  ibrav = 0, nat = 24, ntyp = 4
/
ATOMIC_SPECIES
Li 6.94 Li.upf
Mn 54.94 Mn.upf
Co 58.93 Co.upf
O 16.00 O.upf
ATOMIC_POSITIONS angstrom
Li 1.5911 1.5203 2.8881
Li 4.9499 4.4124 7.3634
Li 4.0179 3.1487 2.9462
Li 5.1687 1.2825 7.3499
Li 4.2367 0.0188 2.9327
Li 7.5954 2.9109 7.4080
Mn 2.4052 3.0902 0.0035
Mn 3.3419 1.4455 5.1540
Mn 2.5782 0.0000 0.0000
Mn 5.8447 2.9857 5.1421
Mn 6.7814 1.3410 10.2926
Co 0.8684 -0.0948 5.1481
O 2.2434 3.0914 3.9419
O 1.6436 1.5038 0.9536
O 4.9897 4.3010 9.2436
O 4.2220 2.8126 6.2942
O 2.5512 0.0899 3.9672
O 4.0403 3.2306 1.0601
O 5.1463 1.2006 9.2360
O 6.6354 4.3413 6.3289
O 4.9646 1.6186 4.0019
O 4.1969 0.1302 1.0525
O 7.5430 2.9274 9.3425
O 6.9432 1.3398 6.3542
CELL_PARAMETERS angstrom
5.1564 0.0000 0.0000
2.2934 4.6208 0.0000
1.7367 -0.1896 10.2961